(1)
Entry from Alexandria: crystalline TaN2 at its relaxed geometry (PBE).

The energy relative to the elements, uncorrected comes out at -0.134 eV/atom. The space group is Pa-3. Its density of states at the Fermi level is 1.5 states/eV/f.u. For the total energy, the calculation gives -9.635 eV per atom. For the density, the calculation gives 10.3 g cm⁻³. The calculation puts the total magnetization at 0.56 μB per formula unit.

Cell: 5.122 5.122 5.122 Å, 90.00 90.00 90.00°
Fractional coordinates of all 12 atoms:
Ta 0.500 0.500 0.000
Ta 0.500 0.000 0.500
Ta 0.000 0.500 0.500
Ta 0.000 0.000 0.000
N 0.141 0.859 0.359
N 0.859 0.359 0.141
N 0.359 0.141 0.859
N 0.641 0.641 0.641
N 0.859 0.141 0.641
N 0.141 0.641 0.859
N 0.641 0.859 0.141
N 0.359 0.359 0.359

(2)
Entry from Alexandria: crystalline ScAgTe2 at its relaxed geometry (PBE).

The energy relative to the elements, uncorrected comes out at -0.762 eV/atom. The space group is P2/m. Its density of states at the Fermi level is 0.0 states/eV/f.u. For the total energy, the calculation gives -4.628 eV per atom. For the density, the calculation gives 5.7 g cm⁻³. The calculation puts the total magnetization at 0.00 μB per formula unit.

Cell: 4.288 7.455 7.372 Å, 90.09 90.00 90.00°
Fractional coordinates of all 8 atoms:
Sc 0.000 0.000 0.000
Sc 0.500 0.000 0.500
Ag 0.500 0.589 0.822
Ag 0.500 0.411 0.178
Te 0.000 0.222 0.341
Te 0.500 0.217 0.830
Te 0.500 0.783 0.170
Te 0.000 0.778 0.659

(3)
Entry from Alexandria: crystalline MgSc6Cd5 at its relaxed geometry (PBE).

For the energy relative to the elements, the calculation gives -0.26 eV/atom. The space group is Cmmm. Its density of states at the Fermi level is 11.2 states/eV/f.u. For the total energy, the calculation gives -3.935 eV per atom. For the density, the calculation gives 5.3 g cm⁻³. The calculation puts the total magnetization at 0.00 μB per formula unit.

Cell: 5.013 7.050 7.959 Å, 90.00 71.64 90.00°
Fractional coordinates of all 12 atoms:
Sc 0.832 0.751 0.337
Sc 0.832 0.249 0.337
Sc 0.500 0.254 0.000
Sc 0.500 0.746 0.000
Sc 0.168 0.751 0.663
Sc 0.168 0.249 0.663
Mg 0.000 0.000 0.000
Cd 0.666 0.500 0.668
Cd 0.340 0.000 0.320
Cd 0.000 0.500 0.000
Cd 0.660 0.000 0.680
Cd 0.334 0.500 0.332